LiMoO3 | GGA+U | optimized geometry

Cell and atoms, written as CIF:
```
data_LiMoO3
_chemical_formula_sum 'Li4 Mo4 O12'
_cell_length_a 5.2388
_cell_length_b 9.3666
_cell_length_c 5.3761
_cell_angle_alpha 90.00
_cell_angle_beta 113.59
_cell_angle_gamma 90.00
_symmetry_space_group_name_H-M 'C 1 2/m 1'
_symmetry_Int_Tables_number 12
loop_
_symmetry_equiv_pos_as_xyz
'x,y,z'
'-x,-y,-z'
'-x,y,-z'
'x,-y,z'
'x+1/2,y+1/2,z'
'-x+1/2,-y+1/2,-z'
'-x+1/2,y+1/2,-z'
'x+1/2,-y+1/2,z'
loop_
_atom_site_label
_atom_site_type_symbol
_atom_site_fract_x
_atom_site_fract_y
_atom_site_fract_z
_atom_site_occupancy
Li1 Li 0.1574 0.0000 0.3563 1
Mo1 Mo 0.0000 0.3364 0.0000 1
O1 O 0.2217 0.5000 0.2373 1
O2 O 0.2252 0.3248 0.7926 1
```

Results
**E**: -131.4 eV for the cell shown
**Calculated volume**: 60.4 Å³/f.u.